# GGA-PBE NaCuNiP, relaxed
data_NaCuNiP
_chemical_formula_sum 'Na2 Cu2 Ni2 P2'
_cell_length_a 3.658
_cell_length_b 3.658
_cell_length_c 10.383
_cell_angle_alpha 90.00
_cell_angle_beta 90.00
_cell_angle_gamma 90.00
_symmetry_space_group_name_H-M 'P 4/n m m'
_symmetry_Int_Tables_number 129
loop_
_symmetry_equiv_pos_as_xyz
'x,y,z'
'-x,-y,-z'
'-y+1/2,x,z'
'y+1/2,-x,-z'
'-x+1/2,-y+1/2,z'
'x+1/2,y+1/2,-z'
'y,-x+1/2,z'
'-y,x+1/2,-z'
'x+1/2,-y,-z'
'-x+1/2,y,z'
'-y,-x,-z'
'y,x,z'
'-x,y+1/2,-z'
'x,-y+1/2,z'
'y+1/2,x+1/2,-z'
'-y+1/2,-x+1/2,z'
loop_
_atom_site_label
_atom_site_fract_x
_atom_site_fract_y
_atom_site_fract_z
Na1 0.250 0.250 0.236
Cu1 0.250 0.750 0.000
Ni1 0.250 0.750 0.500
P1 0.250 0.250 0.622
# N(E_F)	4.55	states/eV/cell
# DFT formation energy	-0.1302	eV per atom
# calculated total energy	-34.3	eV/cell
# spin magnetization	0.000	Bohr magnetons per cell



# GGA-PBE MnCo3, relaxed
data_MnCo3
_chemical_formula_sum 'Mn1 Co3'
_cell_length_a 2.481
_cell_length_b 3.971
_cell_length_c 4.327
_cell_angle_alpha 90.00
_cell_angle_beta 90.00
_cell_angle_gamma 90.00
_symmetry_space_group_name_H-M 'P m m 2'
_symmetry_Int_Tables_number 25
loop_
_symmetry_equiv_pos_as_xyz
'x,y,z'
'-x,-y,z'
'-x,y,z'
'x,-y,z'
loop_
_atom_site_label
_atom_site_fract_x
_atom_site_fract_y
_atom_site_fract_z
Mn1 0.000 0.000 0.000
Co1 0.000 0.500 0.671
Co2 0.500 0.000 0.499
Co3 0.500 0.500 0.172
# N(E_F)	5.52	states/eV/cell
# DFT formation energy	0.0778	eV per atom
# calculated total energy	-30.2	eV/cell
# spin magnetization	1.796	Bohr magnetons per cell



# GGA-PBE LaTb5Nd5, relaxed
data_LaTb5Nd5
_chemical_formula_sum 'La1 Tb5 Nd5'
_cell_length_a 6.2002
_cell_length_b 6.2002
_cell_length_c 11.7747
_cell_angle_alpha 90.00
_cell_angle_beta 90.00
_cell_angle_gamma 120.00
_symmetry_space_group_name_H-M 'P -6 m 2'
_symmetry_Int_Tables_number 187
_symmetry_space_group_name_Hall 'P -6 2'
loop_
_atom_site_label
_atom_site_fract_x
_atom_site_fract_y
_atom_site_fract_z
La1 0.0000 0.0000 0.0000
Tb1 0.0006 0.5003 0.5000
Tb2 0.6667 0.3333 0.2661
Nd1 0.0000 0.0000 0.3253
Nd2 0.3333 0.6667 0.1585
Nd3 0.6667 0.3333 0.0000
# N(E_F)	20.07	states/eV/cell
# DFT formation energy	0.2775	eV per atom
# calculated total energy	-48.9	eV/cell
# spin magnetization	0.001	Bohr magnetons per cell



Number 3 is which compound?
LaTb5Nd5